{"formula": "Cd2SeCl", "functional": "GGA-PBEsol", "state": "optimized geometry", "crystal_system": "tetragonal", "space_group": "P4mm", "raw_formation_energy_ev_per_atom": -0.155, "lattice_angstrom": [[-2.0826, 2.0119, 1.3654], [-1.4633, 0.3987, -2.8194], [-5.2520, -6.6485, 1.7857]], "species": ["Cd", "Cd", "Se", "Cl"], "fractional_positions": [[0.0000, 0.0000, 0.0036], [0.5000, 0.5000, 0.2614], [0.5000, 0.5000, 0.7904], [0.0000, 0.0000, 0.4447]]}

=====

{"formula": "La2YIr", "functional": "GGA-PBEsol", "state": "optimized geometry", "crystal_system": "tetragonal", "space_group": "P4/mmm", "delta_e_f_ev_per_atom": -0.21, "lattice_angstrom": [[-0.3739, -0.7603, 3.5646], [-3.1384, -1.7566, -0.6993], [4.1637, -7.0172, -1.0601]], "species": ["La", "La", "Ir", "Y"], "fractional_positions": [[0.0000, 0.0000, 0.1951], [0.0000, 0.0000, 0.8049], [0.5000, 0.5000, 0.0000], [0.5000, 0.5000, 0.5000]]}

=====

Number 1: relative energy among the computed polymorphs 27 meV/atom, total moment 0.00 Bohr magnetons per cell. Number 2: relative energy among the computed polymorphs 0 meV/atom, total moment 0.77 Bohr magnetons per cell.